No. 1
## AlMo2As (PBE)

Data for crystalline AlMo2As at its relaxed geometry.

a = 6.2476 Å, b = 6.2476 Å, c = 6.2476 Å
α = 90.00°, β = 90.00°, γ = 90.00°
Closest atoms and distances in Å follow each position.
Space group Fm-3m (No. 225)
Inequivalent atoms, fractional coordinates:
Al1 0.0000 0.0000 0.0000 x4  8 Mo 2.71
Mo1 0.2500 0.2500 0.2500 x8  4 As 2.71, 4 Al 2.71
As1 0.0000 0.0000 0.5000 x4  8 Mo 2.71

energy: -7.40 eV per atom
ΔH_f (0 K): 113.8 meV per atom
total moment: 0.00 μB/cell
energy above the lowest structure with this stoichiometry: 331 meV/atom
Fermi-level density of states: 26.1 states/eV per cell

***

No. 2
## CaPuSe2 (PBE)

Data for crystalline CaPuSe2 at its relaxed geometry.

a = 4.1809 Å, b = 4.1809 Å, c = 20.5761 Å
α = 90.00°, β = 90.00°, γ = 120.00°
Closest atoms and distances in Å follow each position.
Space group P-3m1 (No. 164)
Inequivalent atoms, fractional coordinates:
Ca1 0.0000 0.0000 0.0000 x1  6 Se 2.97
Ca2 0.3333 0.6667 0.1675 x2  6 Se 2.96-2.98
Pu1 0.0000 0.0000 0.5000 x1  6 Se 2.95
Pu2 0.3333 0.6667 0.6636 x2  6 Se 2.94-2.97
Se1 0.0000 0.0000 0.2520 x2  3 Pu 2.97, 3 Ca 2.98
Se2 0.3333 0.6667 0.4176 x2  6 Pu 2.94-2.95
Se3 0.3333 0.6667 0.9159 x2  6 Ca 2.96-2.97

energy: -7.58 eV per atom
formation energy without anion corrections: -1.76 eV/atom
total moment: 17.50 μB/cell
energy above the lowest structure with this stoichiometry: 0 meV/atom
Fermi-level density of states: 29.7 states/eV per cell

***

No. 3
## ReAs2Au (PBE)

Data for crystalline ReAs2Au at its relaxed geometry.

a = 2.9625 Å, b = 4.9030 Å, c = 10.6159 Å
α = 90.00°, β = 90.00°, γ = 90.00°
Closest atoms and distances in Å follow each position.
Space group Cmmm (No. 65)
Inequivalent atoms, fractional coordinates:
Re1 0.0000 0.0000 0.0000 x2  4 As 2.57, 4 Re 2.86
As1 0.0000 0.5000 0.1978 x4  2 Re 2.57, 4 As 2.86
Au1 0.0000 0.0000 0.5000 x2  6 Au 2.86-2.96

energy: -5.88 eV per atom
ΔH_f (0 K): 375.9 meV per atom
total moment: 0.00 μB/cell
energy above the lowest structure with this stoichiometry: 192 meV/atom
Fermi-level density of states: 5.0 states/eV per cell

***

No. 4
## TaTc2As (PBE)

Data for crystalline TaTc2As at its relaxed geometry.

a = 3.0528 Å, b = 3.0528 Å, c = 6.7061 Å
α = 90.00°, β = 90.00°, γ = 90.00°
Closest atoms and distances in Å follow each position.
Space group P4mm (No. 99)
Inequivalent atoms, fractional coordinates:
Ta1 0.0000 0.0000 0.0000 x1  4 Tc 2.74, 4 As 2.84, 4 Ta 3.05
Tc1 0.0000 0.0000 0.5058 x1  4 As 2.61, 4 Tc 2.75
Tc2 0.5000 0.5000 0.2522 x1  4 Ta 2.74, 8 Tc 2.75-3.05
As1 0.5000 0.5000 0.7245 x1  4 Tc 2.61, 4 Ta 2.84

energy: -9.31 eV per atom
ΔH_f (0 K): -6.2 meV per atom
total moment: 0.00 μB/cell
Fermi-level density of states: 4.5 states/eV per cell

***

- Among the records above, which one has the highest total moment?
  CaPuSe2

***

Copy entry 3 word for word.
## ReAs2Au (PBE)

Data for crystalline ReAs2Au at its relaxed geometry.

a = 2.9625 Å, b = 4.9030 Å, c = 10.6159 Å
α = 90.00°, β = 90.00°, γ = 90.00°
Closest atoms and distances in Å follow each position.
Space group Cmmm (No. 65)
Inequivalent atoms, fractional coordinates:
Re1 0.0000 0.0000 0.0000 x2  4 As 2.57, 4 Re 2.86
As1 0.0000 0.5000 0.1978 x4  2 Re 2.57, 4 As 2.86
Au1 0.0000 0.0000 0.5000 x2  6 Au 2.86-2.96

energy: -5.88 eV per atom
ΔH_f (0 K): 375.9 meV per atom
total moment: 0.00 μB/cell
energy above the lowest structure with this stoichiometry: 192 meV/atom
Fermi-level density of states: 5.0 states/eV per cell

***

- What is the formula in the first record?
  AlMo2As